1.
CuP2Pb (GGA-PBE, optimized geometry); DFT formation energy = 2.4 eV/f.u.; total DFT energy (no corrections) = -4.048 eV per atom; Fermi-level density of states = 2.11 states/eV/f.u.; volume = 18.9 Å³ per atom; M_tot = 0.00 μB/f.u.
1.0
3.744 0.000 0.000
0.000 3.748 0.000
0.000 0.000 5.381
P Pb Cu
2 1 1
Direct
0.000 0.000 0.000
0.500 0.500 0.000
0.500 0.000 0.500
0.000 0.500 0.500

=====

2.
Tb2PBr (GGA-PBE, optimized geometry); total DFT energy (no corrections) = -5.529 eV per atom; Fermi-level density of states = 0.72 states/eV/f.u.; volume = 25.0 Å³ per atom; M_tot = 0.00 μB/f.u.
1.0
3.994 0.000 0.000
1.997 3.459 0.000
1.997 1.153 7.225
P Br Tb
1 1 2
Direct
0.668 0.668 0.995
0.498 0.498 0.505
0.067 0.067 0.800
0.266 0.266 0.201

=====

3.
NaCd6In (GGA-PBE, optimized geometry); DFT formation energy = -0.1 eV/f.u.; total DFT energy (no corrections) = -1.209 eV per atom; Fermi-level density of states = 3.73 states/eV/f.u.; volume = 23.6 Å³ per atom; M_tot = 0.00 μB/f.u.; distance to the lowest polymorph of the same formula = 0 kJ/mol of formula units
1.0
-3.616 -0.123 2.836
-2.073 -3.023 -2.775
3.774 -6.738 4.521
Cd Na In
6 1 1
Direct
0.500 0.500 0.500
0.000 0.500 0.251
0.500 0.000 0.749
0.500 0.500 0.000
0.000 0.500 0.749
0.500 0.000 0.251
0.000 0.000 0.500
0.000 0.000 0.000